A relaxed CdPbSe crystal, computed with PBE.

D(E_F) ... 1.52 states/eV per cell
ΔE_f (raw) ... -0.133 eV per atom
Space-group type ... I4mm, No. 107
Calculated density ... 8.350 Mg/m³

Cell: 6.1453 6.1453 6.1453 Å, 144.12 144.12 51.64°
With the nearest neighbours (Å) after each atom.
Positions (direct):
Se 0.6280 0.6280 0.0000  4 Cd 2.90, 1 Pb 3.12
Pb 0.3458 0.3458 0.0000  1 Se 3.12, 4 Cd 3.34
Cd 0.0262 0.0262 0.0000  4 Se 2.90